[1]
Density functional theory data (PBE) for crystalline AlPd2Au2 at its relaxed geometry.

Calculated values
Relative energy among the computed polymorphs ... 0.180 eV/atom

Lattice parameters (Å, degrees): 6.3970 6.3970 4.2405 90.00 90.00 90.00
With the nearest neighbours (Å) after each atom.
Positions (direct):
Al (0.0000, 0.0000, 0.0000)  4 Pd 2.45
Al (0.5000, 0.5000, 0.0000)  4 Pd 2.45
Pd (0.1462, 0.3538, 0.0000)  2 Al 2.45, 1 Pd 2.65
Pd (0.3538, 0.8538, 0.0000)  2 Al 2.45, 1 Pd 2.65
Pd (0.6462, 0.1462, 0.0000)  2 Al 2.45, 1 Pd 2.65
Pd (0.8538, 0.6462, 0.0000)  2 Al 2.45, 1 Pd 2.65
Au (0.1612, 0.6612, 0.5000)  6 Pd 2.74-2.89, 1 Au 2.92
Au (0.3388, 0.1612, 0.5000)  6 Pd 2.74-2.89, 1 Au 2.92
Au (0.6612, 0.8388, 0.5000)  6 Pd 2.74-2.89, 1 Au 2.92
Au (0.8388, 0.3388, 0.5000)  6 Pd 2.74-2.89, 1 Au 2.92

[2]
Density functional theory data (PBE) for crystalline Al2PdAu2 at its relaxed geometry.

Calculated values
Relative energy among the computed polymorphs ... 0.096 eV/atom

Lattice parameters (Å, degrees): 7.0481 7.0481 3.3333 90.00 90.00 90.00
With the nearest neighbours (Å) after each atom.
Positions (direct):
Al (0.1515, 0.3485, 0.0000)  6 Au 2.61-2.69, 2 Pd 2.68
Al (0.3485, 0.8485, 0.0000)  6 Au 2.61-2.69, 2 Pd 2.68
Al (0.6515, 0.1515, 0.0000)  6 Au 2.61-2.69, 2 Pd 2.68
Al (0.8485, 0.6515, 0.0000)  6 Au 2.61-2.69, 2 Pd 2.68
Pd (0.0000, 0.0000, 0.0000)  4 Al 2.68
Pd (0.5000, 0.5000, 0.0000)  4 Al 2.68
Au (0.1474, 0.6474, 0.5000)  6 Al 2.61-2.69
Au (0.3526, 0.1474, 0.5000)  6 Al 2.61-2.69
Au (0.6474, 0.8526, 0.5000)  6 Al 2.61-2.69
Au (0.8526, 0.3526, 0.5000)  6 Al 2.61-2.69

[3]
Density functional theory data (PBE) for crystalline AlPd4Au2 at its relaxed geometry.

Calculated values
Relative energy among the computed polymorphs ... 0.000 eV/atom

Lattice parameters (Å, degrees): 5.5937 6.5856 7.1480 114.19 101.43 101.52
With the nearest neighbours (Å) after each atom.
Positions (direct):
Al (0.0000, 0.0000, 0.0000)  7 Pd 2.49-2.73
Al (0.2579, 0.5288, 0.8358)  6 Pd 2.48-2.72, 1 Au 2.75
Pd (0.0344, 0.7124, 0.6217)  2 Al 2.59-2.66, 3 Pd 2.78-2.86, 2 Au 2.83-2.84
Pd (0.1381, 0.2572, 0.4225)  2 Al 2.60-2.64, 2 Pd 2.74-2.85, 5 Au 2.79-2.91
Pd (0.3622, 0.3811, 0.1235)  2 Al 2.57-2.63, 4 Au 2.80-2.87, 3 Pd 2.80-2.86
Pd (0.5036, 0.9499, 0.9976)  2 Al 2.48-2.73, 1 Au 2.77
Pd (0.5141, 0.6993, 0.5753)  7 Pd 2.78-2.96, 4 Au 2.84-2.95, 1 Al 2.99
Pd (0.7642, 0.5824, 0.8765)  2 Al 2.49-2.72, 1 Pd 2.78
Pd (0.8700, 0.3868, 0.1494)  1 Al 2.64, 6 Pd 2.74-2.80, 3 Au 2.82-2.87
Pd (0.9115, 0.1549, 0.7352)  2 Al 2.51-2.53, 2 Au 2.78-2.79, 1 Pd 2.80
Au (0.2366, 0.8091, 0.2503)  4 Au 2.80-3.00, 2 Al 2.82-2.85, 6 Pd 2.82-2.95
Au (0.4038, 0.1312, 0.7131)  1 Al 2.75, 8 Pd 2.77-2.84, 2 Au 2.92-2.96
Au (0.6429, 0.2745, 0.4333)  9 Pd 2.79-2.86, 3 Au 2.96-3.00
Au (0.7561, 0.8220, 0.3017)  8 Pd 2.79-2.93, 3 Au 2.80-2.98

| no. | energy of formation from the pure elements (meV per atom) | magnetization (μB per atom) |
| --- | --- | --- |
| 1 | -300 | 0.00 |
| 2 | -406 | 0.00 |
| 3 | -368 | 0.00 |